La3Sm2Mg: relaxed, PBE.

Cell: 7.2325 7.2325 8.9085 Å, 90.00 90.00 120.00°
Element x y z (fractional)
Sm (0.5000, 0.5000, 0.0000)
Sm (0.0000, 0.5000, 0.0000)
Sm (0.5000, 0.0000, 0.0000)
Sm (0.0000, 0.0000, 0.0000)
La (0.6662, 0.8331, 0.6689)
La (0.1669, 0.8331, 0.6689)
La (0.8331, 0.6662, 0.3311)
La (0.8331, 0.1669, 0.3311)
La (0.3338, 0.1669, 0.3311)
La (0.1669, 0.3338, 0.6689)
Mg (0.3333, 0.6667, 0.3277)
Mg (0.6667, 0.3333, 0.6723)

Values from the calculation:
E (eV per atom): -4.31
DFT formation energy (eV/atom): -0.005
Size of the total moment (μB/f.u.): 0.0